1.
VASP calculation (GGA-PBE) on NaYAgCl5 after structural relaxation.

Formation energy from raw total energies   -1686 meV/atom
Magnetic moment   0.000 μB/f.u.

Cell lengths 7.6402, 7.6402, 9.8334 Å; angles 100.07, 100.07, 118.11 degrees
Closest atoms and distances in Å follow each position.
Fractional positions:
1 Na 0.0746 0.9254 0.7500  4 Cl 2.73-2.83
2 Na 0.9254 0.0746 0.2500  4 Cl 2.73-2.83
3 Y 0.5000 0.5000 0.0000  6 Cl 2.64-2.68
4 Y 0.5000 0.5000 0.5000  6 Cl 2.64-2.68
5 Ag 0.2138 0.7862 0.2500  4 Cl 2.59-2.65
6 Ag 0.7862 0.2138 0.7500  4 Cl 2.59-2.65
7 Cl 0.0930 0.2520 0.9514  1 Ag 2.65, 1 Y 2.66, 1 Na 2.83
8 Cl 0.1642 0.4960 0.3692  1 Ag 2.59, 1 Y 2.64, 1 Na 2.73
9 Cl 0.2520 0.0930 0.4514  1 Ag 2.65, 1 Y 2.66, 1 Na 2.83
10 Cl 0.4191 0.5809 0.7500  2 Y 2.68
11 Cl 0.4960 0.1642 0.8692  1 Ag 2.59, 1 Y 2.64, 1 Na 2.73
12 Cl 0.5040 0.8358 0.1308  1 Ag 2.59, 1 Y 2.64, 1 Na 2.73
13 Cl 0.5809 0.4191 0.2500  2 Y 2.68
14 Cl 0.7480 0.9070 0.5486  1 Ag 2.65, 1 Y 2.66, 1 Na 2.83
15 Cl 0.8358 0.5040 0.6308  1 Ag 2.59, 1 Y 2.64, 1 Na 2.73
16 Cl 0.9070 0.7480 0.0486  1 Ag 2.65, 1 Y 2.66, 1 Na 2.83

---

2.
VASP calculation (GGA-PBE) on NaZnAg2Cl6 after structural relaxation.

Formation energy from raw total energies   -866 meV/atom
Magnetic moment   1.035 μB/f.u.

Cell lengths 9.4199, 9.4199, 6.8319 Å; angles 105.65, 105.65, 101.86 degrees
Closest atoms and distances in Å follow each position.
Fractional positions:
1 Na 0.0958 0.9042 0.7500  6 Cl 2.77-3.05
2 Na 0.9042 0.0958 0.2500  6 Cl 2.77-3.05
3 Zn 0.1764 0.8236 0.2500  4 Cl 2.26-2.35
4 Zn 0.8236 0.1764 0.7500  4 Cl 2.26-2.35
5 Ag 0.2888 0.4654 0.8671  4 Cl 2.56-2.62
6 Ag 0.4654 0.2888 0.3671  4 Cl 2.56-2.62
7 Ag 0.5346 0.7112 0.6329  4 Cl 2.56-2.62
8 Ag 0.7112 0.5346 0.1329  4 Cl 2.56-2.62
9 Cl 0.0612 0.2063 0.6921  1 Zn 2.35, 1 Ag 2.62
10 Cl 0.1242 0.6537 0.9161  1 Zn 2.26
11 Cl 0.2063 0.0612 0.1921  1 Zn 2.35, 1 Ag 2.62
12 Cl 0.3009 0.4669 0.4465  2 Ag 2.56-2.57
13 Cl 0.3463 0.8758 0.5839  1 Zn 2.26
14 Cl 0.4669 0.3009 0.9465  2 Ag 2.56-2.57
15 Cl 0.5331 0.6991 0.0535  2 Ag 2.56-2.57
16 Cl 0.6537 0.1242 0.4161  1 Zn 2.26
17 Cl 0.6991 0.5331 0.5535  2 Ag 2.56-2.57
18 Cl 0.7937 0.9388 0.8079  1 Zn 2.35, 1 Ag 2.62
19 Cl 0.8758 0.3463 0.0839  1 Zn 2.26
20 Cl 0.9388 0.7937 0.3079  1 Zn 2.35, 1 Ag 2.62

---

3.
VASP calculation (GGA-PBE) on Na2ZnAg2Cl6 after structural relaxation.

Formation energy from raw total energies   -1095 meV/atom
Magnetic moment   0.000 μB/f.u.

Cell lengths 6.8909, 6.8909, 6.8285 Å; angles 94.95, 94.95, 119.63 degrees
Closest atoms and distances in Å follow each position.
Fractional positions:
1 Na 0.1655 0.8345 0.0000  6 Cl 2.80-2.86
2 Na 0.8345 0.1655 0.0000  6 Cl 2.80-2.86
3 Zn 0.5000 0.5000 0.0000  6 Cl 2.41-2.58
4 Ag 0.3642 0.6358 0.5000  2 Cl 2.48
5 Ag 0.6358 0.3642 0.5000  2 Cl 2.48
6 Cl 0.1606 0.4692 0.7790  1 Ag 2.48, 1 Zn 2.58
7 Cl 0.2470 0.2470 0.2027  1 Zn 2.41
8 Cl 0.4692 0.1606 0.7790  1 Ag 2.48, 1 Zn 2.58
9 Cl 0.5308 0.8394 0.2210  1 Ag 2.48, 1 Zn 2.58
10 Cl 0.7530 0.7530 0.7973  1 Zn 2.41
11 Cl 0.8394 0.5308 0.2210  1 Ag 2.48, 1 Zn 2.58